(P)
A geometry-optimized KVPO2 structure, computed with PBE+U.

a b c (Å): 4.4234 4.4234 5.5116
angles (deg): 90.00 90.00 90.00
Last column: magnetic moment on the atom in μB.
Sites, in units of the cell vectors:
O: 0.0000 0.5000 0.0000  0.85
O: 0.5000 0.0000 0.0000  0.85
P: 0.0000 0.0000 0.5000  -0.25
V: 0.5000 0.5000 0.5000  2.63
K: 0.0000 0.0000 0.0000  0.08

Output
* magnetic moment: 4.44 μB/f.u.
* DOS at the Fermi energy: 1.25 states/eV per atom


(Q)
A geometry-optimized KVPO2 structure, computed with PBE+U.

a b c (Å): 3.9711 3.9711 4.7922
angles (deg): 90.00 90.00 90.00
Last column: magnetic moment on the atom in μB.
Sites, in units of the cell vectors:
V: 0.0000 0.0000 0.0000  -0.87
O: 0.0000 0.5000 0.0000  0.21
O: 0.5000 0.0000 0.0000  0.21
K: 0.5000 0.5000 0.5000  0.06
P: 0.0000 0.0000 0.5000  0.58

Output
* magnetic moment: 0.84 μB/f.u.
* DOS at the Fermi energy: 0.41 states/eV per atom


Most favorable structure: (Q). The second most favorable one is 2018 meV per atom above it.


(P)
A geometry-optimized KVP2O structure, computed with PBE+U.

a b c (Å): 4.8656 4.8656 3.8324
angles (deg): 90.00 90.00 90.00
Last column: magnetic moment on the atom in μB.
Sites, in units of the cell vectors:
P: 0.5000 0.0000 0.0000  0.27
P: 0.0000 0.5000 0.0000  0.27
K: 0.5000 0.5000 0.5000  0.02
O: 0.0000 0.0000 0.5000  0.27
V: 0.0000 0.0000 0.0000  -0.74

Output
* magnetic moment: 0.65 μB/f.u.
* DOS at the Fermi energy: 0.72 states/eV per atom


(Q)
A geometry-optimized KVP2O structure, computed with PBE+U.

a b c (Å): 5.2991 5.2991 4.4067
angles (deg): 90.00 90.00 90.00
Last column: magnetic moment on the atom in μB.
Sites, in units of the cell vectors:
V: 0.5000 0.5000 0.5000  -2.78
P: 0.0000 0.5000 0.0000  0.36
P: 0.5000 0.0000 0.0000  0.36
O: 0.0000 0.0000 0.5000  0.88
K: 0.0000 0.0000 0.0000  0.06

Output
* magnetic moment: 0.42 μB/f.u.
* DOS at the Fermi energy: 0.86 states/eV per atom


Most favorable structure: (P). The second most favorable one is 1791 meV per atom above it.